Cd3InAu | PBE-GGA | relaxed

Results
The calculation puts the energy above the most stable polymorph in this dataset at 0.0 meV/atom. Its formation energy is -0.076 eV/atom.

Cell and atoms, written as POSCAR:
```
Cd3InAu
1.0
-6.2055 -1.6213 3.9744
5.4503 -3.8325 3.5411
3.0319 5.7606 -1.2896
Cd In Au
6 2 2
Direct
0.7785 0.0854 0.3473 Cd
0.2619 0.5688 0.3473 Cd
0.7381 0.4312 0.6527 Cd
0.7257 0.4394 0.1650 Cd
0.2215 0.9146 0.6527 Cd
0.2743 0.5606 0.8350 Cd
0.7782 0.0859 0.8640 In
0.2218 0.9141 0.1360 In
0.7322 0.7612 0.4934 Au
0.2678 0.2388 0.5066 Au
```

Cd3In2Au4 | PBE-GGA | relaxed

Results
The calculation puts the energy above the most stable polymorph in this dataset at 41.0 meV/atom. Its formation energy is -0.136 eV/atom.

Cell and atoms, written as POSCAR:
```
Cd3In2Au4
1.0
4.4664 0.0000 0.0000
-2.2332 4.7685 -0.3368
0.0000 -1.1761 9.4280
Cd In Au
3 2 4
Direct
0.3729 0.7458 0.5692 Cd
0.0000 0.0000 0.0000 Cd
0.6271 0.2542 0.4308 Cd
0.3465 0.6930 0.1775 In
0.6535 0.3070 0.8225 In
0.6565 0.3130 0.1333 Au
0.0952 0.1903 0.6302 Au
0.9048 0.8097 0.3698 Au
0.3435 0.6870 0.8667 Au
```

CdInAu2 | PBE-GGA | relaxed

Results
Its formation energy is -0.134 eV/atom.

Cell and atoms, written as POSCAR:
```
CdInAu2
1.0
5.2823 0.0000 0.0000
0.0000 3.1644 0.0518
0.0000 -0.0803 4.8467
Cd Au In
1 2 1
Direct
0.0000 0.6253 0.4064 Cd
0.0000 0.1249 0.9092 Au
0.5000 0.1246 0.3405 Au
0.5000 0.6252 0.8439 In
```

Cd2InAu2 | PBE-GGA | relaxed

Results
The calculation puts the energy above the most stable polymorph in this dataset at 163.7 meV/atom. Its formation energy is -0.021 eV/atom.

Cell and atoms, written as POSCAR:
```
Cd2InAu2
1.0
4.0111 0.0000 0.0000
0.0000 4.0111 0.0000
2.0055 2.0055 7.1303
Cd Au In
2 2 1
Direct
0.3973 0.3973 0.2055 Cd
0.6027 0.6027 0.7945 Cd
0.7500 0.2500 0.5000 Au
0.2500 0.7500 0.5000 Au
0.0000 0.0000 0.0000 In
```